Entry 1:
This record from the Alexandria database describes Rb5SbF8 after structural relaxation. The functional is PBE-GGA.

a b c (Å): 7.0668 7.0668 7.0668
angles (deg): 108.89 109.76 109.76
Closest atoms and distances in Å follow each position.
Atoms (fractional coordinates):
1 Rb 0.6269 0.6112 0.7432  6 F 2.73-2.94
2 Rb 0.1320 0.0157 0.3888  6 F 2.73-2.94
3 Rb 0.3731 0.1163 0.9843  6 F 2.73-2.94
4 Rb 0.0000 0.5000 0.5000  4 F 2.83
5 Rb 0.8680 0.2568 0.8837  6 F 2.73-2.94
6 Sb 0.5000 0.7500 0.2500  8 F 2.32-2.49
7 F 0.2989 0.4213 0.2608  1 Sb 2.32
8 F 0.8395 0.8776 0.5787  1 Sb 2.32
9 F 0.7195 0.5598 0.1558  1 Sb 2.49, 2 F 2.71-2.75, 1 Rb 2.76
10 F 0.5960 0.1597 0.4402  1 Sb 2.49, 2 F 2.71-2.75, 1 Rb 2.76
11 F 0.4040 0.8442 0.5637  1 Sb 2.49, 2 F 2.71-2.75, 1 Rb 2.76
12 F 0.1605 0.7392 0.0381  1 Sb 2.32
13 F 0.7011 0.9619 0.1224  1 Sb 2.32
14 F 0.2805 0.4363 0.8403  1 Sb 2.49, 2 F 2.71-2.75, 1 Rb 2.76

The value obtained for the formation energy without anion corrections is -2.567 eV/atom.

Entry 2:
This record from the Alexandria database describes RbSbF3 after structural relaxation. The functional is PBE-GGA.

a b c (Å): 4.9271 4.9271 4.9271
angles (deg): 90.00 90.00 90.00
Closest atoms and distances in Å follow each position.
Atoms (fractional coordinates):
1 Sb 0.5000 0.5000 0.5000  12 F 3.48
2 Rb 0.0000 0.0000 0.0000  6 F 2.46
3 F 0.0000 0.5000 0.0000  2 Rb 2.46
4 F 0.0000 0.0000 0.5000  2 Rb 2.46
5 F 0.5000 0.0000 0.0000  2 Rb 2.46

The value obtained for the formation energy without anion corrections is -0.973 eV/atom. The energy above the lowest structure with this stoichiometry comes out at 6.73 eV per formula unit.

Entry 3:
This record from the Alexandria database describes RbSbF3 after structural relaxation. The functional is PBE-GGA.

a b c (Å): 6.3543 6.3543 7.4669
angles (deg): 64.82 64.82 90.00
Closest atoms and distances in Å follow each position.
Atoms (fractional coordinates):
1 Sb 0.5000 0.5000 0.0000  4 F 2.30
2 Sb 0.0000 0.0000 0.0000  6 F 2.17-2.20
3 Rb 0.7500 0.2500 0.5000  4 F 3.28
4 Rb 0.2500 0.7500 0.5000  4 F 3.28
5 F 0.1817 0.1817 0.6365  1 Sb 2.17
6 F 0.8183 0.8183 0.3635  1 Sb 2.17
7 F 0.2446 0.2446 0.0000  2 Sb 2.20-2.30
8 F 0.7554 0.7554 0.0000  2 Sb 2.20-2.30
9 F 0.7554 0.2446 0.0000  2 Sb 2.20-2.30
10 F 0.2446 0.7554 0.0000  2 Sb 2.20-2.30

The value obtained for the formation energy without anion corrections is -2.148 eV/atom. The energy above the lowest structure with this stoichiometry comes out at 0.86 eV per formula unit.

Entry 4:
This record from the Alexandria database describes Rb2SbF after structural relaxation. The functional is PBE-GGA.

a b c (Å): 5.9761 5.9761 5.9761
angles (deg): 60.00 60.00 60.00
Closest atoms and distances in Å follow each position.
Atoms (fractional coordinates):
1 Sb 0.5000 0.5000 0.5000  8 Rb 3.66
2 Rb 0.2500 0.2500 0.2500  4 F 3.66, 4 Sb 3.66
3 Rb 0.7500 0.7500 0.7500  4 Sb 3.66, 4 F 3.66
4 F 0.0000 0.0000 0.0000  8 Rb 3.66

The value obtained for the formation energy without anion corrections is -0.822 eV/atom. The energy above the lowest structure with this stoichiometry comes out at 1.25 eV per formula unit.

Entry 5:
This record from the Alexandria database describes RbSbF4 after structural relaxation. The functional is PBE-GGA.

a b c (Å): 4.7878 4.6123 7.2188
angles (deg): 67.03 70.58 58.70
Closest atoms and distances in Å follow each position.
Atoms (fractional coordinates):
1 Rb 0.4319 0.5000 0.9998  8 F 2.88-3.22
2 Sb 0.9571 0.0000 0.4999  4 F 1.99-2.11
3 F 0.8083 0.6476 0.5384  1 Sb 1.99
4 F 0.7853 0.9213 0.8170  1 Sb 2.11
5 F 0.0234 0.0781 0.1830  1 Sb 2.11
6 F 0.4940 0.3531 0.4620  1 Sb 1.99

The value obtained for the formation energy without anion corrections is -2.571 eV/atom.

Entry 6:
This record from the Alexandria database describes RbSbF2 after structural relaxation. The functional is PBE-GGA.

a b c (Å): 4.9334 4.9334 4.9334
angles (deg): 60.00 60.00 60.00
Closest atoms and distances in Å follow each position.
Atoms (fractional coordinates):
1 Sb 0.5000 0.5000 0.5000  8 F 3.02
2 Rb 0.0000 0.0000 0.0000  8 F 3.02
3 F 0.2500 0.2500 0.2500  4 Sb 3.02, 4 Rb 3.02
4 F 0.7500 0.7500 0.7500  4 Sb 3.02, 4 Rb 3.02

The value obtained for the formation energy without anion corrections is -1.177 eV/atom. The energy above the lowest structure with this stoichiometry comes out at 3.17 eV per formula unit.

Entry 7:
This record from the Alexandria database describes Rb2SbF7 after structural relaxation. The functional is PBE-GGA.

a b c (Å): 6.5836 6.5836 6.5835
angles (deg): 60.00 60.00 90.00
Closest atoms and distances in Å follow each position.
Atoms (fractional coordinates):
1 Sb 0.0000 0.0000 0.0000  6 F 1.94
2 Rb 0.7500 0.2500 0.5000  12 F 3.31
3 Rb 0.2500 0.7500 0.5000  12 F 3.31
4 F 0.5000 0.5000 0.0000  6 F 2.71
5 F 0.2085 0.2085 0.5830  1 Sb 1.94
6 F 0.7915 0.7915 0.4170  1 Sb 1.94
7 F 0.2085 0.2085 0.0000  1 Sb 1.94
8 F 0.7915 0.7915 0.0000  1 Sb 1.94
9 F 0.7915 0.2085 0.0000  1 Sb 1.94
10 F 0.2085 0.7915 0.0000  1 Sb 1.94

The value obtained for the formation energy without anion corrections is -2.377 eV/atom.

Entry 8:
This record from the Alexandria database describes Rb2SbSeF6 after structural relaxation. The functional is PBE-GGA.

a b c (Å): 6.6332 6.6332 7.0638
angles (deg): 62.00 62.00 90.00
Closest atoms and distances in Å follow each position.
Atoms (fractional coordinates):
1 Sb 0.0000 0.0000 0.0000  6 F 2.03-2.04
2 Se 0.5000 0.5000 0.0000  4 F 2.66
3 Rb 0.7500 0.2500 0.5000  12 F 3.37-3.55
4 Rb 0.2500 0.7500 0.5000  12 F 3.37-3.55
5 F 0.1932 0.1932 0.6136  1 Sb 2.04
6 F 0.8068 0.8068 0.3864  1 Sb 2.04
7 F 0.2168 0.2168 0.0000  1 Sb 2.03
8 F 0.7832 0.7832 0.0000  1 Sb 2.03
9 F 0.7832 0.2168 0.0000  1 Sb 2.03
10 F 0.2168 0.7832 0.0000  1 Sb 2.03

The value obtained for the formation energy without anion corrections is -2.046 eV/atom.

- Which of these has the lowest formation energy without anion corrections?
  RbSbF4